Below is an optimized crystal structure of MgV3O, with properties calculated at the GGA+U level.

Unit cell a=4.3596 b=4.3596 c=4.3596 alpha=90.00 beta=90.00 gamma=90.00
Positions (direct):
Mg: 0.0000 0.0000 0.0000
V: 0.0000 0.5000 0.5000
V: 0.5000 0.0000 0.5000
V: 0.5000 0.5000 0.0000
O: 0.5000 0.5000 0.5000

Output
Spin magnetization: 9.0 μB/cell
Volume: 16.6 Å³ per atom
SG: Pm-3m
Distance to the lowest polymorph of the same formula: 0 meV/atom
ρ: 3.87 g/cm³
VASP energy: -5.661 eV per atom